(1)
ZrCoSi2: relaxed, PBE-GGA.

Unit cell a=5.133 b=5.133 c=5.133 alpha=43.72 beta=43.72 gamma=43.72
Atoms (fractional coordinates):
Zr 0.000 0.000 0.000
Co 0.500 0.500 0.500
Si 0.214 0.214 0.214
Si 0.786 0.786 0.786

space-group type = No. 166

=====

(2)
ZrCoSi2: relaxed, PBE-GGA.

Unit cell a=8.329 b=8.329 c=8.329 alpha=20.33 beta=20.33 gamma=20.33
Atoms (fractional coordinates):
Zr 0.000 0.000 0.000
Co 0.759 0.759 0.759
Si 0.241 0.241 0.241
Si 0.491 0.491 0.491

space-group type = No. 160

=====

(3)
Zr4CoSi: relaxed, PBE-GGA.

Unit cell a=5.563 b=5.563 c=5.563 alpha=60.00 beta=60.00 gamma=60.00
Atoms (fractional coordinates):
Zr 0.125 0.125 0.125
Zr 0.125 0.125 0.625
Zr 0.125 0.625 0.125
Zr 0.625 0.125 0.125
Co 0.750 0.750 0.750
Si 0.500 0.500 0.500

space-group type = No. 216

=====

(4)
ZrCo2Si2: relaxed, PBE-GGA.

Unit cell a=7.036 b=7.036 c=2.645 alpha=90.00 beta=90.00 gamma=90.00
Atoms (fractional coordinates):
Zr 0.000 0.000 0.000
Zr 0.500 0.500 0.000
Co 0.145 0.355 0.500
Co 0.355 0.855 0.500
Co 0.645 0.145 0.500
Co 0.855 0.645 0.500
Si 0.141 0.641 0.000
Si 0.359 0.141 0.000
Si 0.641 0.859 0.000
Si 0.859 0.359 0.000

space-group type = No. 127
ΔE to the lowest computed polymorph = 1.63 eV/f.u.

=====

Energy relative to the elements, uncorrected readings, ordered: -0.721 0.017 0.593 -0.482 eV/atom
Total DFT energy (no corrections) readings, ordered: -29.38 -26.43 -43.16 -72.03 eV per cell
Volume readings, ordered: 58.7 61.0 121.7 130.9 Å³/cell